! NaTeHN2 GGA-PBEsol optimized geometry; values from VASP
&SYSTEM
  ibrav = 0, nat = 5, ntyp = 4
/
ATOMIC_SPECIES
Na 22.99 Na.upf
Te 127.60 Te.upf
H 1.01 H.upf
N 14.01 N.upf
CELL_PARAMETERS angstrom
4.1192 0.0000 0.0000
0.0000 4.1192 0.0000
0.0000 0.0000 3.5680
ATOMIC_POSITIONS crystal
Na 0.0000 0.0000 0.0000
Te 0.5000 0.5000 0.0000
H 0.5000 0.5000 0.5000
N 0.0000 0.5000 0.5000
N 0.5000 0.0000 0.5000
! **Fermi-level density of states**: 2.7 states/eV/f.u.
! **Space group**: P4/mmm (123)
! **VASP energy**: -3.547 eV/atom
! **Magnetization**: 1.21 μB/cell



! AlFeTeI2 GGA-PBEsol optimized geometry; values from VASP
&SYSTEM
  ibrav = 0, nat = 5, ntyp = 4
/
ATOMIC_SPECIES
Al 26.98 Al.upf
Fe 55.84 Fe.upf
Te 127.60 Te.upf
I 126.90 I.upf
CELL_PARAMETERS angstrom
5.3854 0.0000 0.0000
0.0000 5.3854 0.0000
0.0000 0.0000 5.0287
ATOMIC_POSITIONS crystal
Al 0.0000 0.0000 0.0000
Fe 0.5000 0.5000 0.5000
Te 0.5000 0.5000 0.0000
I 0.0000 0.5000 0.5000
I 0.5000 0.0000 0.5000
! **Fermi-level density of states**: 5.6 states/eV/f.u.
! **Space group**: P4/mmm (123)
! **VASP energy**: -3.698 eV/atom
! **Magnetization**: 3.27 μB/cell



! Ca2YBr GGA-PBEsol optimized geometry; values from VASP
&SYSTEM
  ibrav = 0, nat = 4, ntyp = 3
/
ATOMIC_SPECIES
Ca 40.08 Ca.upf
Y 88.91 Y.upf
Br 79.90 Br.upf
CELL_PARAMETERS angstrom
0.0000 4.0436 4.0436
4.0436 0.0000 4.0436
4.0436 4.0436 0.0000
ATOMIC_POSITIONS crystal
Ca 0.0000 0.0000 0.0000
Ca 0.2500 0.2500 0.2500
Y 0.7500 0.7500 0.7500
Br 0.5000 0.5000 0.5000
! **Fermi-level density of states**: 4.7 states/eV/f.u.
! **Space group**: F-43m (216)
! **Magnetization**: 0.00 μB/cell
! **Excess energy over the best structure of this formula in the dataset**: 240 kJ/mol of formula units



! ZnNi5 GGA-PBEsol optimized geometry; values from VASP
&SYSTEM
  ibrav = 0, nat = 6, ntyp = 2
/
ATOMIC_SPECIES
Zn 65.41 Zn.upf
Ni 58.69 Ni.upf
CELL_PARAMETERS angstrom
1.7513 -5.2350 0.0000
1.7513 5.2350 0.0000
0.0000 0.0000 3.4940
ATOMIC_POSITIONS crystal
Zn 0.0000 0.0000 0.0000
Ni 0.1697 0.8303 0.5000
Ni 0.3312 0.6688 0.0000
Ni 0.5000 0.5000 0.5000
Ni 0.6688 0.3312 0.0000
Ni 0.8303 0.1697 0.5000
! **Fermi-level density of states**: 7.8 states/eV/f.u.
! **Space group**: Cmmm (65)
! **VASP energy**: -5.480 eV/atom
! **Magnetization**: 1.96 μB/cell



! NiSe3 GGA-PBEsol optimized geometry; values from VASP
&SYSTEM
  ibrav = 0, nat = 4, ntyp = 2
/
ATOMIC_SPECIES
Ni 58.69 Ni.upf
Se 78.96 Se.upf
CELL_PARAMETERS angstrom
-1.6773 5.0569 2.2993
1.6773 -5.0569 2.2993
1.6773 5.0569 -2.2993
ATOMIC_POSITIONS crystal
Ni 0.0000 0.0000 0.0000
Se 0.0236 0.3682 0.6554
Se 0.3729 0.8729 0.5000
Se 0.7128 0.3682 0.3446
! **Fermi-level density of states**: 2.1 states/eV/f.u.
! **Space group**: Imm2 (44)
! **VASP energy**: -4.441 eV/atom
! **Magnetization**: 0.00 μB/cell



! Mg5Ag GGA-PBEsol optimized geometry; values from VASP
&SYSTEM
  ibrav = 0, nat = 6, ntyp = 2
/
ATOMIC_SPECIES
Mg 24.30 Mg.upf
Ag 107.87 Ag.upf
CELL_PARAMETERS angstrom
5.6056 -1.5891 0.0000
5.6056 1.5891 0.0000
-1.8832 0.0000 6.9563
ATOMIC_POSITIONS crystal
Mg 0.0000 0.0000 0.0000
Mg 0.0316 0.0316 0.6052
Mg 0.3791 0.3791 0.2680
Mg 0.6722 0.6722 0.3637
Mg 0.7216 0.7216 0.9160
Ag 0.3297 0.3297 0.6669
! **Fermi-level density of states**: 1.8 states/eV/f.u.
! **Space group**: Cm (8)
! **VASP energy**: -2.048 eV/atom
! **Magnetization**: 0.00 μB/cell



! Zn2SbRh GGA-PBEsol optimized geometry; values from VASP
&SYSTEM
  ibrav = 0, nat = 4, ntyp = 3
/
ATOMIC_SPECIES
Zn 65.41 Zn.upf
Sb 121.76 Sb.upf
Rh 102.91 Rh.upf
CELL_PARAMETERS angstrom
0.0000 3.1763 3.1763
3.1763 0.0000 3.1763
3.1763 3.1763 0.0000
ATOMIC_POSITIONS crystal
Zn 0.0000 0.0000 0.0000
Zn 0.2500 0.2500 0.2500
Sb 0.5000 0.5000 0.5000
Rh 0.7500 0.7500 0.7500
! **Fermi-level density of states**: 1.5 states/eV/f.u.
! **Space group**: F-43m (216)
! **VASP energy**: -3.950 eV/atom
! **Magnetization**: 0.00 μB/cell



! Mg3P2 GGA-PBEsol optimized geometry; values from VASP
&SYSTEM
  ibrav = 0, nat = 40, ntyp = 2
/
ATOMIC_SPECIES
Mg 24.30 Mg.upf
P 30.97 P.upf
CELL_PARAMETERS angstrom
-5.9945 5.9945 5.9945
5.9945 -5.9945 5.9945
5.9945 5.9945 -5.9945
ATOMIC_POSITIONS crystal
Mg 0.0071 0.4736 0.7402
Mg 0.0264 0.0336 0.2666
Mg 0.0336 0.2666 0.0264
Mg 0.2334 0.2670 0.7598
Mg 0.2330 0.4664 0.4929
Mg 0.2402 0.7666 0.7330
Mg 0.2598 0.9929 0.5264
Mg 0.2666 0.0264 0.0336
Mg 0.2670 0.7598 0.2334
Mg 0.4664 0.4929 0.2330
Mg 0.4736 0.7402 0.0071
Mg 0.4929 0.2330 0.4664
Mg 0.5071 0.7670 0.5336
Mg 0.5264 0.2598 0.9929
Mg 0.5336 0.5071 0.7670
Mg 0.7330 0.2402 0.7666
Mg 0.7334 0.9736 0.9664
Mg 0.7402 0.0071 0.4736
Mg 0.7598 0.2334 0.2670
Mg 0.7670 0.5336 0.5071
Mg 0.7666 0.7330 0.2402
Mg 0.9664 0.7334 0.9736
Mg 0.9736 0.9664 0.7334
Mg 0.9929 0.5264 0.2598
P 0.0000 0.0000 0.0000
P 0.0000 0.5000 0.5000
P 0.0244 0.7744 0.2500
P 0.2256 0.7500 0.9756
P 0.2500 0.0244 0.7744
P 0.2500 0.5244 0.2744
P 0.2744 0.2500 0.5244
P 0.4756 0.7256 0.7500
P 0.5000 0.0000 0.5000
P 0.5000 0.5000 0.0000
P 0.5244 0.2744 0.2500
P 0.7256 0.7500 0.4756
P 0.7500 0.4756 0.7256
P 0.7500 0.9756 0.2256
P 0.7744 0.2500 0.0244
P 0.9756 0.2256 0.7500
! **Space group**: Ia-3 (206)
! **VASP energy**: -3.988 eV/atom
! **Magnetization**: 0.00 μB/cell